No. 1
DFT (PBE) results for ZrGaAgPd after structural relaxation.

abc: 4.631 4.631 4.631
angles: 60.00 60.00 60.00
Element x y z (fractional)
1 Ga 0.500 0.500 0.500
2 Zr 0.750 0.750 0.750
3 Ag 0.250 0.250 0.250
4 Pd 0.000 0.000 0.000

**Crystal system**: cubic
**Energy relative to the lowest polymorph listed for this composition**: 0.016 eV per atom

***

No. 2
DFT (PBE) results for LiHfRe2 after structural relaxation.

abc: 4.440 4.440 4.440
angles: 60.00 60.00 60.00
Element x y z (fractional)
1 Li 0.500 0.500 0.500
2 Hf 0.250 0.250 0.250
3 Re 0.750 0.750 0.750
4 Re 0.000 0.000 0.000

**Crystal system**: cubic
**Energy**: -36.572 eV for the cell shown

***

No. 3
DFT (PBE) results for Sm2ErMg3Ir2Pt after structural relaxation.

abc: 4.059 7.365 7.365
angles: 119.81 90.00 90.00
Element x y z (fractional)
1 Er 0.000 0.411 0.411
2 Ir 0.500 0.336 0.661
3 Ir 0.500 0.661 0.336
4 Mg 0.500 0.247 0.002
5 Mg 0.500 0.753 0.753
6 Mg 0.500 0.002 0.247
7 Sm 0.000 0.585 0.001
8 Sm 0.000 0.001 0.585
9 Pt 0.000 0.005 0.005

**Crystal system**: orthorhombic
**Energy**: -49.236 eV for the cell shown

***

No. 4
DFT (PBE) results for Cs2RbSb2Au3 after structural relaxation.

abc: 8.367 8.367 8.367
angles: 47.41 47.41 47.41
Element x y z (fractional)
1 Sb 0.250 0.250 0.250
2 Sb 0.750 0.750 0.750
3 Cs 0.917 0.917 0.917
4 Cs 0.083 0.083 0.083
5 Au 0.500 0.500 0.000
6 Au 0.500 0.000 0.500
7 Au 0.000 0.500 0.500
8 Rb 0.500 0.500 0.500

**Crystal system**: trigonal
**Energy**: -24.442 eV for the cell shown

***

No. 5
DFT (PBE) results for BaLiTbSe3 after structural relaxation.

abc: 9.241 9.241 8.930
angles: 103.69 103.69 26.63
Element x y z (fractional)
1 Se 0.671 0.671 0.801
2 Se 0.500 0.500 0.000
3 Se 0.668 0.668 0.363
4 Se 0.332 0.332 0.637
5 Se 0.329 0.329 0.199
6 Se 0.000 0.000 0.500
7 Li 0.505 0.505 0.698
8 Li 0.495 0.495 0.302
9 Tb 0.835 0.835 0.417
10 Tb 0.165 0.165 0.583
11 Ba 0.864 0.864 0.934
12 Ba 0.136 0.136 0.066

**Crystal system**: monoclinic
**Energy relative to the lowest polymorph listed for this composition**: 0.016 eV per atom

***

No. 6
DFT (PBE) results for CsCuSnTe3 after structural relaxation.

abc: 17.376 4.359 11.391
angles: 90.00 90.00 90.00
Element x y z (fractional)
1 Sn 0.521 0.750 0.156
2 Sn 0.979 0.250 0.656
3 Sn 0.479 0.250 0.844
4 Sn 0.021 0.750 0.344
5 Cs 0.269 0.250 0.508
6 Cs 0.731 0.750 0.492
7 Cs 0.231 0.750 0.008
8 Cs 0.769 0.250 0.992
9 Te 0.116 0.250 0.236
10 Te 0.925 0.750 0.131
11 Te 0.884 0.750 0.764
12 Te 0.425 0.750 0.369
13 Te 0.384 0.750 0.736
14 Te 0.075 0.250 0.869
15 Te 0.909 0.250 0.425
16 Te 0.616 0.250 0.264
17 Te 0.575 0.250 0.631
18 Te 0.091 0.750 0.575
19 Te 0.409 0.250 0.075
20 Te 0.591 0.750 0.925
21 Cu 0.506 0.250 0.430
22 Cu 0.494 0.750 0.570
23 Cu 0.006 0.250 0.070
24 Cu 0.994 0.750 0.930

**Crystal system**: orthorhombic
**Energy relative to the lowest polymorph listed for this composition**: 0.010 eV per atom

***

No. 7
DFT (PBE) results for Hf3Cu8 after structural relaxation.

abc: 7.447 7.447 7.447
angles: 109.47 109.47 109.47
Element x y z (fractional)
1 Cu 0.653 0.653 0.306
2 Cu 0.694 0.347 0.347
3 Cu 0.653 0.347 0.000
4 Cu 0.500 0.000 0.000
5 Cu 0.347 0.000 0.653
6 Cu 0.653 0.306 0.653
7 Cu 0.347 0.694 0.347
8 Cu 0.500 0.500 0.500
9 Cu 0.000 0.500 0.000
10 Cu 0.653 0.000 0.347
11 Cu 0.000 0.000 0.500
12 Cu 0.306 0.653 0.653
13 Cu 0.000 0.653 0.347
14 Cu 0.347 0.347 0.694
15 Cu 0.000 0.347 0.653
16 Cu 0.347 0.653 0.000
17 Hf 0.000 0.740 0.740
18 Hf 0.000 0.260 0.260
19 Hf 0.260 0.000 0.260
20 Hf 0.740 0.740 0.000
21 Hf 0.260 0.260 0.000
22 Hf 0.740 0.000 0.740

**Crystal system**: cubic
**Energy relative to the lowest polymorph listed for this composition**: 0.070 eV per atom

***

No. 8
DFT (PBE) results for HoCuPt after structural relaxation.

abc: 4.512 4.512 4.512
angles: 60.00 60.00 60.00
Element x y z (fractional)
1 Pt 0.000 0.000 0.000
2 Ho 0.750 0.750 0.750
3 Cu 0.250 0.250 0.250

**Crystal system**: cubic
**Energy relative to the lowest polymorph listed for this composition**: 0.000 eV per atom

***

No. 9
DFT (PBE) results for LiInGaAu after structural relaxation.

abc: 4.710 4.710 4.710
angles: 60.00 60.00 60.00
Element x y z (fractional)
1 In 0.250 0.250 0.250
2 Au 0.750 0.750 0.750
3 Ga 0.500 0.500 0.500
4 Li 0.000 0.000 0.000

**Crystal system**: cubic
**Energy relative to the lowest polymorph listed for this composition**: 0.020 eV per atom

***

No. 10
DFT (PBE) results for InAg3Te4Pt after structural relaxation.

abc: 6.515 6.515 6.515
angles: 90.00 90.00 90.00
Element x y z (fractional)
1 Te 0.259 0.259 0.259
2 Te 0.259 0.741 0.741
3 Te 0.741 0.259 0.741
4 Te 0.741 0.741 0.259
5 In 0.000 0.000 0.000
6 Ag 0.500 0.500 0.000
7 Ag 0.000 0.500 0.500
8 Ag 0.500 0.000 0.500
9 Pt 0.500 0.500 0.500

**Crystal system**: cubic
**Energy**: -30.062 eV for the cell shown

***

No. 11
DFT (PBE) results for YMg4ScHg2 after structural relaxation.

abc: 4.994 4.994 7.088
angles: 90.00 90.00 90.00
Element x y z (fractional)
1 Hg 0.500 0.000 0.237
2 Hg 0.000 0.500 0.763
3 Mg 0.000 0.500 0.238
4 Mg 0.500 0.500 0.000
5 Mg 0.500 0.000 0.762
6 Mg 0.000 0.000 0.500
7 Y 0.500 0.500 0.500
8 Sc 0.000 0.000 0.000

**Crystal system**: tetragonal
**Energy**: -21.582 eV for the cell shown

***

No. 12
DFT (PBE) results for Mg2TaSb3Pd3 after structural relaxation.

abc: 7.708 7.712 7.712
angles: 119.84 99.65 99.65
Element x y z (fractional)
1 Ta 0.500 0.165 0.332
2 Ta 0.000 0.332 0.165
3 Sb 0.251 0.745 0.251
4 Sb 0.252 0.084 0.911
5 Sb 0.247 0.422 0.589
6 Sb 0.752 0.911 0.084
7 Sb 0.747 0.589 0.422
8 Sb 0.751 0.251 0.745
9 Mg 0.500 0.836 0.669
10 Mg 0.500 0.498 0.999
11 Mg 0.000 0.999 0.498
12 Mg 0.000 0.669 0.836
13 Pd 0.868 0.290 0.444
14 Pd 0.378 0.127 0.615
15 Pd 0.368 0.444 0.290
16 Pd 0.878 0.615 0.127
17 Pd 0.878 0.969 0.802
18 Pd 0.378 0.802 0.969

**Crystal system**: monoclinic
**Energy**: -94.891 eV for the cell shown